Compound: Rb2GaNiO
Source: the Alexandria database
Functional: GGA+U
Structure: relaxed

The structure in POSCAR format:
```
Rb2GaNiO
1.0
-0.928 -4.005 -4.317
4.072 -0.212 -0.678
0.436 -4.405 3.993
O Ni Ga Rb
1 1 1 2
Cartesian
0.000 0.000 0.000 O
1.790 -4.311 -0.501 Ni
2.036 -0.106 -0.339 Ga
0.218 -2.203 1.997 Rb
-0.464 -2.003 -2.159 Rb
```

Values from the calculation:
space group = P4/mmm (123)
total energy = -0.084 hartree per atom